Computed, not measured: SnAs3H at its PBEsol-relaxed geometry at the meta-GGA SCAN level of DFT.

Its magnetic moment is 0.166 μB/atom. The density of states at the Fermi level is 4.0 states/eV/cell. For the total DFT energy (no corrections), the calculation gives -92.5 eV/cell.

The structure belongs to space group Pm-3m (No. 221); the cell edges are 5.2469, 5.2469 and 5.2469 Å and the angles 90.00°, 90.00° and 90.00°. Symmetry generates all atoms from Sn at (0.0000, 0.0000, 0.0000), As at (0.0000, 0.0000, 0.5000) and H at (0.5000, 0.5000, 0.5000).